DFT (PBE-GGA) results for a relaxed structure of Ba2NaNiAu.

Cell: 6.2799 6.2799 4.9012 Å, 90.00 90.00 90.00°
Space group P4/mmm (No. 123)
Symmetry-distinct sites (fractional):
Ba: 0.0000 0.5000 0.0000 x2
Na: 0.0000 0.0000 0.0000 x1
Ni: 0.5000 0.5000 0.5000 x1
Au: 0.0000 0.0000 0.5000 x1

Computed properties:
energy relative to the elements: 2.782 eV/f.u.
polymorph energy (0 for the lowest one): 668 meV/atom

---

DFT (PBE-GGA) results for a relaxed structure of ZrAl2PtC.

Cell: 4.4413 4.4413 3.9503 Å, 90.00 90.00 90.00°
Space group P4/mmm (No. 123)
Symmetry-distinct sites (fractional):
Zr: 0.0000 0.0000 0.0000 x1
Al: 0.0000 0.5000 0.5000 x2
Pt: 0.5000 0.5000 0.0000 x1
C: 0.5000 0.5000 0.5000 x1

Computed properties:
energy relative to the elements: 0.757 eV/f.u.